This record from the Alexandria database describes crystalline KOsBr2 at its relaxed geometry. The functional is GGA-PBE.

The relative energy among the computed polymorphs is 0.406 eV per atom. The value obtained for the formation energy from raw total energies is 0.4528 eV/atom.

The space group is P4mm (No. 99) and the conventional cell measures 3.392, 3.392 and 9.045 Å, with angles of 90.00, 90.00 and 90.00 degrees. The asymmetric unit holds K at (0.000, 0.000, 0.000), Os at (0.500, 0.500, 0.324), Br at (0.000, 0.000, 0.421) and Br at (0.500, 0.500, 0.776).

This record from the Alexandria database describes crystalline Zr2ReHIr at its relaxed geometry. The functional is GGA-PBE.

The relative energy among the computed polymorphs is 0.000 eV per atom.

The space group is P4/mmm (No. 123) and the conventional cell measures 4.598, 4.598 and 3.559 Å, with angles of 90.00, 90.00 and 90.00 degrees. The asymmetric unit holds Zr at (0.000, 0.500, 0.000), Re at (0.000, 0.000, 0.500), H at (0.500, 0.500, 0.000) and Ir at (0.500, 0.500, 0.500).

This record from the Alexandria database describes crystalline CaAg2PtO at its relaxed geometry. The functional is GGA-PBE.

The value obtained for the formation energy from raw total energies is 0.4274 eV/atom.

The space group is P4/mmm (No. 123) and the conventional cell measures 5.060, 5.060 and 5.380 Å, with angles of 90.00, 90.00 and 90.00 degrees. The asymmetric unit holds Ca at (0.000, 0.000, 0.000), Ag at (0.000, 0.500, 0.500), Pt at (0.000, 0.000, 0.500) and O at (0.500, 0.500, 0.000).

This record from the Alexandria database describes crystalline Mg2TcSnI at its relaxed geometry. The functional is GGA-PBE.

The value obtained for the formation energy from raw total energies is 0.3814 eV/atom.

The space group is P4/mmm (No. 123) and the conventional cell measures 5.356, 5.356 and 5.103 Å, with angles of 90.00, 90.00 and 90.00 degrees. The asymmetric unit holds Mg at (0.000, 0.500, 0.000), Tc at (0.000, 0.000, 0.000), Sn at (0.000, 0.000, 0.500) and I at (0.500, 0.500, 0.500).

This record from the Alexandria database describes crystalline SrY2Sc at its relaxed geometry. The functional is GGA-PBE.

The relative energy among the computed polymorphs is 0.154 eV per atom. The calculation puts the formation energy at 0.263 eV/atom.

The space group is P4/mmm (No. 123) and the conventional cell measures 5.086, 5.086 and 5.180 Å, with angles of 90.00, 90.00 and 90.00 degrees. The asymmetric unit holds Sr at (0.000, 0.000, 0.000), Y at (0.000, 0.500, 0.500) and Sc at (0.500, 0.500, 0.000).

This record from the Alexandria database describes crystalline SrCoSe2 at its relaxed geometry. The functional is GGA-PBE.

The relative energy among the computed polymorphs is 0.139 eV per atom. The value obtained for the formation energy from raw total energies is -0.7865 eV/atom.

The space group is P2/m (No. 10) and the conventional cell measures 4.117, 3.636 and 6.509 Å, with angles of 90.00, 94.23 and 90.00 degrees. The asymmetric unit holds Sr at (0.000, 0.000, 0.000), Co at (0.500, 0.000, 0.500) and Se at (0.460, 0.500, 0.732).

This record from the Alexandria database describes crystalline CdCo2Rh at its relaxed geometry. The functional is GGA-PBE.

The calculation puts the formation energy at 0.205 eV/atom.

The space group is Imm2 (No. 44) and the conventional cell measures 2.919, 4.431 and 8.743 Å, with angles of 90.00, 90.00 and 90.00 degrees. The asymmetric unit holds Cd at (0.000, 0.000, 0.000), Co at (0.000, 0.000, 0.474), Co at (0.000, 0.500, 0.767) and Rh at (0.000, 0.500, 0.221).

This record from the Alexandria database describes crystalline Sr2InAg2Pd5 at its relaxed geometry. The functional is GGA-PBE.

The calculation puts the formation energy at -0.420 eV/atom.

The space group is P4/mbm (No. 127) and the conventional cell measures 10.074, 10.074 and 4.050 Å, with angles of 90.00, 90.00 and 90.00 degrees. The asymmetric unit holds Sr at (0.173, 0.327, 0.000), In at (0.000, 0.000, 0.000), Ag at (0.126, 0.626, 0.000), Pd at (0.000, 0.500, 0.500) and Pd at (0.058, 0.804, 0.500).